# PBE PmSn2Au4, optimized geometry
data_PmSn2Au4
_symmetry_space_group_name_H-M 'R -3 m'
_symmetry_Int_Tables_number 166
_symmetry_space_group_name_Hall '-R 3 2"'
_cell_length_a 4.7330
_cell_length_b 4.7330
_cell_length_c 25.0926
_cell_angle_alpha 90.00
_cell_angle_beta 90.00
_cell_angle_gamma 120.00
loop_
_atom_site_label
_atom_site_type_symbol
_atom_site_fract_x
_atom_site_fract_y
_atom_site_fract_z
Pm1 Pm 0.0000 0.0000 0.0000
Sn1 Sn 0.0000 0.0000 0.2436
Au1 Au 0.0000 0.0000 0.1331
Au2 Au 0.0000 0.0000 0.3952
# * E: -4.097 eV per atom
# * crystal system: trigonal